1.
{"formula": "SrAl2Cl2", "functional": "PBE-GGA", "state": "optimized geometry", "total_magnetization_mub_per_fu": 0.000, "e_above_lowest_polymorph_ev_per_atom": 0.000, "formation_energy_uncorrected_ev_per_atom": -0.964, "lattice_angstrom": [[-3.065, -1.025, -1.857], [-1.796, -0.482, 3.231], [-6.208, 11.130, 0.361]], "species": ["Al", "Sr", "Al", "Cl", "Cl"], "fractional_positions": [[0.750, 0.250, 0.500], [0.000, 0.000, 0.000], [0.250, 0.750, 0.500], [0.564, 0.564, 0.872], [0.436, 0.436, 0.128]]}


2.
{"formula": "BaNaNiGe", "functional": "PBE-GGA", "state": "optimized geometry", "total_magnetization_mub_per_fu": 0.000, "formation_energy_mev_per_atom": -292, "lattice_angstrom": [[4.299, 0.000, 0.000], [0.000, 4.299, 0.000], [0.000, 0.000, 12.794]], "species": ["Ni", "Na", "Ni", "Ba", "Ge", "Ge", "Na", "Ba"], "fractional_positions": [[0.250, 0.750, 0.000], [0.250, 0.750, 0.500], [0.750, 0.250, 0.000], [0.250, 0.250, 0.791], [0.750, 0.750, 0.916], [0.250, 0.250, 0.084], [0.750, 0.250, 0.500], [0.750, 0.750, 0.209]]}